Below is a relaxed structure of CdIn2Ag9, with properties calculated at the GGA-PBE level.

DOS(E_F) = 3.8 states/eV/f.u.
formation enthalpy at 0 K = -28 kJ/mol of formula units
space group = No. 123
energy = -32.3 eV/f.u.

Lattice parameters (Å, degrees): 4.217 4.217 12.670 90.00 90.00 90.00
Atoms (fractional coordinates):
Cd 0.000 0.000 0.000
In 0.000 0.000 0.332
In 0.000 0.000 0.668
Ag 0.000 0.500 0.165
Ag 0.000 0.500 0.500
Ag 0.000 0.500 0.835
Ag 0.500 0.000 0.165
Ag 0.500 0.000 0.500
Ag 0.500 0.000 0.835
Ag 0.500 0.500 0.000
Ag 0.500 0.500 0.334
Ag 0.500 0.500 0.666

---

Below is a relaxed structure of Cd6InAg4, with properties calculated at the GGA-PBE level.

DOS(E_F) = 3.9 states/eV/f.u.
formation enthalpy at 0 K = 82 kJ/mol of formula units
space group = No. 121
energy = -18.8 eV/f.u.

Lattice parameters (Å, degrees): 7.196 7.196 7.196 118.27 118.27 93.02
Atoms (fractional coordinates):
Cd 0.000 0.500 0.500
Cd 0.118 0.118 0.690
Cd 0.428 0.428 0.310
Cd 0.500 0.000 0.500
Cd 0.572 0.882 0.000
Cd 0.882 0.572 0.000
In 0.000 0.000 0.000
Ag 0.263 0.614 0.000
Ag 0.386 0.386 0.648
Ag 0.614 0.263 0.000
Ag 0.737 0.737 0.352

---

Below is a relaxed structure of Cd4In3Ag4, with properties calculated at the GGA-PBE level.

DOS(E_F) = 3.8 states/eV/f.u.
formation enthalpy at 0 K = 21 kJ/mol of formula units
space group = No. 2
energy = -23.1 eV/f.u.

Lattice parameters (Å, degrees): 3.342 4.142 17.179 83.66 84.62 89.64
Atoms (fractional coordinates):
Cd 0.051 0.052 0.400
Cd 0.311 0.307 0.875
Cd 0.689 0.693 0.125
Cd 0.949 0.948 0.600
In 0.139 0.147 0.222
In 0.500 0.500 0.500
In 0.861 0.853 0.778
Ag 0.228 0.230 0.044
Ag 0.405 0.400 0.688
Ag 0.595 0.600 0.312
Ag 0.772 0.770 0.956

---

Below is a relaxed structure of Cd4InAg8, with properties calculated at the GGA-PBE level.

DOS(E_F) = 3.3 states/eV/f.u.
formation enthalpy at 0 K = 20 kJ/mol of formula units
space group = No. 25
energy = -29.0 eV/f.u.

Lattice parameters (Å, degrees): 3.943 4.198 15.976 90.00 90.00 90.00
Atoms (fractional coordinates):
Cd 0.000 0.000 0.000
Cd 0.000 0.500 0.424
Cd 0.500 0.000 0.831
Cd 0.500 0.500 0.275
In 0.000 0.500 0.696
Ag 0.000 0.000 0.281
Ag 0.000 0.000 0.562
Ag 0.000 0.500 0.137
Ag 0.000 0.500 0.867
Ag 0.500 0.000 0.141
Ag 0.500 0.000 0.420
Ag 0.500 0.500 0.001
Ag 0.500 0.500 0.562

---

Below is a relaxed structure of Cd4InAg4, with properties calculated at the GGA-PBE level.

DOS(E_F) = 4.3 states/eV/f.u.
formation enthalpy at 0 K = 48 kJ/mol of formula units
space group = No. 137
energy = -17.3 eV/f.u.

Lattice parameters (Å, degrees): 6.344 6.344 9.977 90.00 90.00 90.00
Atoms (fractional coordinates):
Cd 0.010 0.250 0.021
Cd 0.250 0.010 0.521
Cd 0.250 0.490 0.521
Cd 0.490 0.250 0.021
Cd 0.510 0.750 0.979
Cd 0.750 0.510 0.479
Cd 0.750 0.990 0.479
Cd 0.990 0.750 0.979
In 0.250 0.750 0.250
In 0.750 0.250 0.750
Ag 0.030 0.250 0.316
Ag 0.250 0.030 0.816
Ag 0.250 0.470 0.816
Ag 0.470 0.250 0.316
Ag 0.530 0.750 0.684
Ag 0.750 0.530 0.184
Ag 0.750 0.970 0.184
Ag 0.970 0.750 0.684

---

Below is a relaxed structure of Cd5InAg5, with properties calculated at the GGA-PBE level.

DOS(E_F) = 6.5 states/eV/f.u.
formation enthalpy at 0 K = 128 kJ/mol of formula units
space group = No. 187
energy = -20.2 eV/f.u.

Lattice parameters (Å, degrees): 5.421 5.421 9.968 90.00 90.00 120.00
Atoms (fractional coordinates):
Cd 0.000 0.000 0.000
Cd 0.333 0.667 0.335
Cd 0.333 0.667 0.665
Cd 0.667 0.333 0.226
Cd 0.667 0.333 0.774
In 0.333 0.667 0.000
Ag 0.000 0.000 0.265
Ag 0.000 0.000 0.735
Ag 0.336 0.168 0.500
Ag 0.832 0.168 0.500
Ag 0.832 0.664 0.500